Density functional theory data (PBE) for crystalline BeNbS at its relaxed geometry.

Lattice parameters (Å, degrees): 8.7548 3.2162 6.8840 90.00 113.79 90.00
With the nearest neighbours (Å) after each atom.
Fractional positions:
Be: 0.0000 0.0000 0.0000  1 S 2.11, 2 Be 2.13
Be: 0.1427 0.5000 0.9548  2 Be 2.13, 1 S 2.17
Be: 0.5000 0.5000 0.0000  1 S 2.11, 2 Be 2.13
Be: 0.6427 0.0000 0.9548  2 Be 2.13, 1 S 2.17
Nb: 0.0021 0.0000 0.6219  4 S 2.47-2.54, 3 Be 2.61-2.66
Nb: 0.1265 0.5000 0.3259  5 S 2.51-2.66, 3 Be 2.61-2.62
Nb: 0.5021 0.5000 0.6219  4 S 2.47-2.54, 3 Be 2.61-2.66
Nb: 0.6265 0.0000 0.3259  5 S 2.51-2.66, 3 Be 2.61-2.62
S: 0.2864 0.0000 0.6290  5 Nb 2.47-2.56
S: 0.3861 0.5000 0.2186  2 Be 2.11-2.17
S: 0.7864 0.5000 0.6290  5 Nb 2.47-2.56
S: 0.8861 0.0000 0.2186  2 Be 2.11-2.17

Values from the calculation:
Its space group is Cm, No. 8.

***

Density functional theory data (PBE) for crystalline BeNbS at its relaxed geometry.

Lattice parameters (Å, degrees): 4.7829 3.1349 5.9922 90.00 106.55 90.00
With the nearest neighbours (Å) after each atom.
Fractional positions:
Be: 0.0000 0.0000 0.0000  2 S 2.05, 1 Be 2.28
Be: 0.4377 0.0000 0.2794  1 S 2.01
Nb: 0.4457 0.5000 0.9317  4 S 2.55-2.58, 4 Be 2.62-2.77
Nb: 0.9327 0.5000 0.3463  3 S 2.52-2.62, 4 Be 2.69-2.77
S: 0.3206 0.0000 0.5755  1 Be 2.01
S: 0.8855 0.5000 0.7722  2 Be 2.05

Values from the calculation:
Its space group is Pm, No. 6.

***

Density functional theory data (PBE) for crystalline BeNbS at its relaxed geometry.

Lattice parameters (Å, degrees): 8.8940 3.2737 6.6574 90.00 117.01 90.00
With the nearest neighbours (Å) after each atom.
Fractional positions:
Be: 0.0000 0.0000 0.0000  2 S 2.08-2.09, 2 Be 2.18
Be: 0.1701 0.5000 0.0287  1 S 2.14, 2 Be 2.18
Be: 0.5000 0.5000 0.0000  2 S 2.08-2.09, 2 Be 2.18
Be: 0.6701 0.0000 0.0287  1 S 2.14, 2 Be 2.18
Nb: 0.0726 0.0000 0.6841  3 Be 2.46-2.62, 4 S 2.50-2.53
Nb: 0.2643 0.0000 0.3641  3 Be 2.49-2.58, 5 S 2.52-2.70
Nb: 0.5726 0.5000 0.6841  3 Be 2.46-2.62, 4 S 2.50-2.53
Nb: 0.7643 0.5000 0.3641  3 Be 2.49-2.58, 5 S 2.52-2.70
S: 0.2877 0.5000 0.6839  1 Be 2.09
S: 0.4334 0.5000 0.2619  2 Be 2.08-2.14
S: 0.7877 0.0000 0.6839  1 Be 2.09
S: 0.9334 0.0000 0.2619  2 Be 2.08-2.14

Values from the calculation:
Its space group is Cm, No. 8.

***

Density functional theory data (PBE) for crystalline BeNbS at its relaxed geometry.

Lattice parameters (Å, degrees): 8.7101 3.2914 6.0395 90.00 109.26 90.00
With the nearest neighbours (Å) after each atom.
Fractional positions:
Be: 0.0000 0.0000 0.0000  1 Be 2.29, 4 S 2.36
Be: 0.2241 0.5000 0.9220  1 Be 2.29, 4 Nb 2.46-2.47
Be: 0.5000 0.5000 0.0000  1 Be 2.29, 4 S 2.36
Be: 0.7241 0.0000 0.9220  1 Be 2.29, 4 Nb 2.46-2.47
Nb: 0.1045 0.0000 0.6108  2 Be 2.46, 5 S 2.52-2.58
Nb: 0.3194 0.0000 0.2442  3 Be 2.47-2.68, 4 S 2.49-2.63
Nb: 0.6045 0.5000 0.6108  2 Be 2.46, 5 S 2.52-2.58
Nb: 0.8194 0.5000 0.2442  3 Be 2.47-2.68, 4 S 2.49-2.63
S: 0.1141 0.5000 0.2866  2 Be 2.36, 5 Nb 2.49-2.58
S: 0.4149 0.0000 0.7047  3 Be 2.36-2.58, 4 Nb 2.52-2.63
S: 0.6141 0.0000 0.2866  2 Be 2.36, 5 Nb 2.49-2.58
S: 0.9149 0.5000 0.7047  3 Be 2.36-2.58, 4 Nb 2.52-2.63

Values from the calculation:
Its space group is Cm, No. 8.

***

Density functional theory data (PBE) for crystalline BeNbS at its relaxed geometry.

Lattice parameters (Å, degrees): 8.6651 3.1448 7.4382 90.00 122.11 90.00
With the nearest neighbours (Å) after each atom.
Fractional positions:
Be: 0.0000 0.0000 0.0000  2 S 2.08-2.31
Be: 0.2199 0.5000 0.0366  1 S 2.11
Be: 0.5000 0.5000 0.0000  2 S 2.08-2.31
Be: 0.7199 0.0000 0.0366  1 S 2.11
Nb: 0.1650 0.0000 0.7127  4 S 2.44-2.58, 2 Be 2.70
Nb: 0.3100 0.0000 0.3797  5 S 2.48-2.53, 3 Be 2.67-2.73
Nb: 0.6650 0.5000 0.7127  4 S 2.44-2.58, 2 Be 2.70
Nb: 0.8100 0.5000 0.3797  5 S 2.48-2.53, 3 Be 2.67-2.73
S: 0.3656 0.5000 0.6711  1 Be 2.08
S: 0.4890 0.5000 0.3032  2 Be 2.11-2.31
S: 0.8656 0.0000 0.6711  1 Be 2.08
S: 0.9890 0.0000 0.3032  2 Be 2.11-2.31

Values from the calculation:
Its space group is Cm, No. 8.

***

Density functional theory data (PBE) for crystalline BeNbS at its relaxed geometry.

Lattice parameters (Å, degrees): 10.4508 3.2948 5.7054 90.00 117.72 90.00
With the nearest neighbours (Å) after each atom.
Fractional positions:
Be: 0.0876 0.0000 0.4715  1 Be 2.00, 1 S 2.03
Be: 0.4124 0.5000 0.5285  1 Be 2.00, 1 S 2.03
Be: 0.5876 0.5000 0.4715  1 Be 2.00, 1 S 2.03
Be: 0.9124 0.0000 0.5285  1 Be 2.00, 1 S 2.03
Nb: 0.1143 0.5000 0.8467  3 S 2.46-2.47, 4 Be 2.61-2.63
Nb: 0.3857 0.0000 0.1533  3 S 2.46-2.47, 4 Be 2.61-2.63
Nb: 0.6143 0.0000 0.8467  3 S 2.46-2.47, 4 Be 2.61-2.63
Nb: 0.8857 0.5000 0.1533  3 S 2.46-2.47, 4 Be 2.61-2.63
S: 0.1639 0.0000 0.2023  1 Be 2.03
S: 0.3361 0.5000 0.7977  1 Be 2.03
S: 0.6639 0.5000 0.2023  1 Be 2.03
S: 0.8361 0.0000 0.7977  1 Be 2.03

Values from the calculation:
Its space group is C2/m, No. 12.

***

Density functional theory data (PBE) for crystalline BeNbS at its relaxed geometry.

Lattice parameters (Å, degrees): 3.2951 3.2951 13.0045 90.00 90.00 120.00
With the nearest neighbours (Å) after each atom.
Fractional positions:
Be: 0.0000 0.0000 0.0000  3 S 2.11
Be: 0.3333 0.6667 0.6667  3 S 2.11
Be: 0.6667 0.3333 0.3333  3 S 2.11
Nb: 0.0000 0.0000 0.2046  4 Be 2.53-2.66, 4 S 2.58-2.59
Nb: 0.3333 0.6667 0.8713  4 Be 2.53-2.66, 4 S 2.58-2.59
Nb: 0.6667 0.3333 0.5380  4 Be 2.53-2.66, 4 S 2.58-2.59
S: 0.0000 0.0000 0.4029  3 Be 2.11
S: 0.3333 0.6667 0.0695  3 Be 2.11
S: 0.6667 0.3333 0.7362  3 Be 2.11

Values from the calculation:
Its space group is R3m, No. 160.

***

Density functional theory data (PBE) for crystalline BeNbS at its relaxed geometry.

Lattice parameters (Å, degrees): 3.0670 5.5796 6.0407 64.66 87.94 80.39
With the nearest neighbours (Å) after each atom.
Fractional positions:
Be: 0.0559 0.2418 0.1574  2 S 2.07-2.25
Be: 0.9441 0.7582 0.8426  2 S 2.07-2.25
Nb: 0.4166 0.7746 0.4843  3 Be 2.54-2.71, 4 S 2.60-2.64, 1 Nb 2.73
Nb: 0.5834 0.2254 0.5157  3 Be 2.54-2.71, 4 S 2.60-2.64, 1 Nb 2.73
S: 0.0244 0.3836 0.7800  2 Be 2.07-2.25
S: 0.9756 0.6164 0.2200  2 Be 2.07-2.25

Values from the calculation:
Its space group is P-1, No. 2.

***

Density functional theory data (PBE) for crystalline BeNbS at its relaxed geometry.

Lattice parameters (Å, degrees): 9.1486 3.2999 6.4798 90.00 118.41 90.00
With the nearest neighbours (Å) after each atom.
Fractional positions:
Be: 0.0979 0.0000 0.4715  1 Be 1.99, 1 S 2.03
Be: 0.4021 0.5000 0.5285  1 Be 1.99, 1 S 2.03
Be: 0.5979 0.5000 0.4715  1 Be 1.99, 1 S 2.03
Be: 0.9021 0.0000 0.5285  1 Be 1.99, 1 S 2.03
Nb: 0.1168 0.5000 0.8057  4 S 2.49-2.64, 4 Be 2.54-2.66
Nb: 0.3832 0.0000 0.1943  4 S 2.49-2.64, 4 Be 2.54-2.66
Nb: 0.6168 0.0000 0.8057  4 S 2.49-2.64, 4 Be 2.54-2.66
Nb: 0.8832 0.5000 0.1943  4 S 2.49-2.64, 4 Be 2.54-2.66
S: 0.1821 0.5000 0.2258  1 Be 2.03
S: 0.3179 0.0000 0.7742  1 Be 2.03
S: 0.6821 0.0000 0.2258  1 Be 2.03
S: 0.8179 0.5000 0.7742  1 Be 2.03

Values from the calculation:
Its space group is C2/m, No. 12.

***

Density functional theory data (PBE) for crystalline BeNbS at its relaxed geometry.

Lattice parameters (Å, degrees): 8.7368 3.1167 7.4604 90.00 123.07 90.00
With the nearest neighbours (Å) after each atom.
Fractional positions:
Be: 0.0000 0.0000 0.0000  2 S 2.19, 1 Be 2.38
Be: 0.2316 0.0000 0.9235  1 S 2.24, 1 Be 2.38
Be: 0.5000 0.5000 0.0000  2 S 2.19, 1 Be 2.38
Be: 0.7316 0.5000 0.9235  1 S 2.24, 1 Be 2.38
Nb: 0.1975 0.5000 0.6184  4 S 2.44-2.51, 3 Be 2.62-2.64
Nb: 0.3270 0.5000 0.2823  5 S 2.48-2.58
Nb: 0.6975 0.0000 0.6184  4 S 2.44-2.51, 3 Be 2.62-2.64
Nb: 0.8270 0.0000 0.2823  5 S 2.48-2.58
S: 0.0165 0.5000 0.2165  3 Be 2.19-2.24
S: 0.4103 0.0000 0.5995  5 Nb 2.44-2.58
S: 0.5165 0.0000 0.2165  3 Be 2.19-2.24
S: 0.9103 0.5000 0.5995  5 Nb 2.44-2.58

Values from the calculation:
Its space group is Cm, No. 8.

***

Density functional theory data (PBE) for crystalline BeNbS3 at its relaxed geometry.

Lattice parameters (Å, degrees): 4.2732 4.2732 4.2732 90.00 90.00 90.00
With the nearest neighbours (Å) after each atom.
Fractional positions:
Be: 0.0000 0.0000 0.0000  6 S 2.14
Nb: 0.5000 0.5000 0.5000  12 S 3.02
S: 0.0000 0.0000 0.5000  2 Be 2.14
S: 0.0000 0.5000 0.0000  2 Be 2.14
S: 0.5000 0.0000 0.0000  2 Be 2.14

Values from the calculation:
Its space group is Pm-3m, No. 221.

***

Density functional theory data (PBE) for crystalline BeNb3S at its relaxed geometry.

Lattice parameters (Å, degrees): 4.5487 4.5487 4.5487 90.00 90.00 90.00
With the nearest neighbours (Å) after each atom.
Fractional positions:
Be: 0.0000 0.0000 0.0000  12 Nb 3.22
Nb: 0.0000 0.5000 0.5000  2 S 2.27
Nb: 0.5000 0.0000 0.5000  2 S 2.27
Nb: 0.5000 0.5000 0.0000  2 S 2.27
S: 0.5000 0.5000 0.5000  6 Nb 2.27

Values from the calculation:
Its space group is Pm-3m, No. 221.

***

Ordered formation energy (no corrections) results: -0.380; -0.402; -0.387; -0.354; -0.389; -0.407; -0.429; -0.308; -0.395; -0.364; 0.168; 0.431; unit eV per atom.
Ordered ΔE to the lowest computed polymorph results: 0.049; 0.027; 0.042; 0.075; 0.040; 0.022; 0.000; 0.121; 0.034; 0.065; 0.000; 0.000; unit eV/atom.
Ordered total moment results: 0.0; 0.0; 0.0; 0.0; 0.0; 0.0; 0.0; 0.0; 0.0; 0.0; 1.2; 0.0; unit Bohr magnetons per cell.